# Cr2Ag2O7, relaxed, DFT PBE+U
# total moment	0.0	μB/f.u.
# energy above the lowest structure with this stoichiometry	0	meV/atom
# raw total energy	-260.49	eV for the cell shown
data_Cr2Ag2O7
_chemical_formula_sum 'Cr8 Ag8 O28'
_cell_length_a 7.9300
_cell_length_b 9.2984
_cell_length_c 10.3804
_cell_angle_alpha 90.00
_cell_angle_beta 109.19
_cell_angle_gamma 90.00
_space_group_name_H-M_alt 'C 1 2/c 1'
_space_group_IT_number 15
_space_group_name_Hall '-C 2yc'
loop_
_atom_site_label
_atom_site_type_symbol
_atom_site_fract_x
_atom_site_fract_y
_atom_site_fract_z
_atom_site_occupancy
Cr1 Cr 0.1932 0.0120 0.2097 1
Ag1 Ag 0.0318 0.3136 0.9858 1
O1 O 0.0000 0.0595 0.2500 1
O2 O 0.1341 0.4963 0.1468 1
O3 O 0.1596 0.1400 0.6258 1
O4 O 0.2309 0.1424 0.1138 1